## BeTcIr2 (PBE-GGA)

Data for a relaxed structure of BeTcIr2.

Calculated values
The space-group type is P4/mmm. The value obtained for the formation energy from the elements is -39 kJ per mole of atoms. For the spin magnetization, the calculation gives 0.00 μB/f.u.

Cell and atoms, written as CIF:
```
data_BeTcIr2
_chemical_formula_sum 'Be1 Tc1 Ir2'
_cell_length_a 2.779
_cell_length_b 2.779
_cell_length_c 6.604
_cell_angle_alpha 90.00
_cell_angle_beta 90.00
_cell_angle_gamma 90.00
_symmetry_space_group_name_H-M 'P 1'
_symmetry_Int_Tables_number 1
_symmetry_space_group_name_Hall 'P 1'
loop_
_atom_site_label
_atom_site_fract_x
_atom_site_fract_y
_atom_site_fract_z
Be1 0.500 0.500 0.750
Tc1 0.500 0.500 0.250
Ir1 0.000 0.000 0.967
Ir2 0.000 0.000 0.533
```

=====

## YTcB2Pb (PBE-GGA)

Data for a relaxed structure of YTcB2Pb.

Calculated values
The space-group type is P4/mmm. The value obtained for the formation energy from the elements is 183 kJ per mole of atoms. For the spin magnetization, the calculation gives 1.58 μB/f.u.

Cell and atoms, written as CIF:
```
data_YTcB2Pb
_chemical_formula_sum 'Y1 Tc1 B2 Pb1'
_cell_length_a 4.552
_cell_length_b 5.212
_cell_length_c 4.552
_cell_angle_alpha 90.00
_cell_angle_beta 90.00
_cell_angle_gamma 90.00
_symmetry_space_group_name_H-M 'P 1'
_symmetry_Int_Tables_number 1
_symmetry_space_group_name_Hall 'P 1'
loop_
_atom_site_label
_atom_site_fract_x
_atom_site_fract_y
_atom_site_fract_z
B1 0.500 0.000 0.000
B2 0.000 0.000 0.500
Pb1 0.000 0.000 0.000
Tc1 0.000 0.500 0.000
Y1 0.500 0.500 0.500
```

=====

## In12Ga5Se3 (PBE-GGA)

Data for a relaxed structure of In12Ga5Se3.

Calculated values
The space-group type is Ia-3d. The uncorrected formation energy is 0.08 eV/atom. For the spin magnetization, the calculation gives 0.00 μB/f.u.

Cell and atoms, written as CIF:
```
data_In12Ga5Se3
_chemical_formula_sum 'In48 Ga20 Se12'
_cell_length_a 14.542
_cell_length_b 14.542
_cell_length_c 14.542
_cell_angle_alpha 109.47
_cell_angle_beta 109.47
_cell_angle_gamma 109.47
_symmetry_space_group_name_H-M 'P 1'
_symmetry_Int_Tables_number 1
_symmetry_space_group_name_Hall 'P 1'
loop_
_atom_site_label
_atom_site_fract_x
_atom_site_fract_y
_atom_site_fract_z
In1 0.923 0.093 0.872
In2 0.872 0.593 0.923
In3 0.052 0.628 0.722
In4 0.948 0.577 0.170
In5 0.778 0.330 0.907
In6 0.670 0.222 0.593
In7 0.128 0.407 0.077
In8 0.577 0.628 0.407
In9 0.372 0.423 0.093
In10 0.407 0.128 0.577
In11 0.407 0.278 0.330
In12 0.593 0.722 0.670
In13 0.552 0.330 0.923
In14 0.907 0.830 0.778
In15 0.448 0.670 0.077
In16 0.628 0.577 0.907
In17 0.670 0.448 0.577
In18 0.330 0.778 0.407
In19 0.577 0.948 0.670
In20 0.278 0.407 0.830
In21 0.722 0.128 0.052
In22 0.448 0.778 0.872
In23 0.077 0.907 0.128
In24 0.372 0.948 0.778
In25 0.722 0.593 0.170
In26 0.330 0.552 0.423
In27 0.872 0.278 0.448
In28 0.948 0.372 0.278
In29 0.830 0.923 0.052
In30 0.278 0.872 0.948
In31 0.128 0.722 0.552
In32 0.628 0.052 0.222
In33 0.222 0.552 0.628
In34 0.593 0.872 0.423
In35 0.423 0.372 0.593
In36 0.778 0.448 0.372
In37 0.093 0.170 0.222
In38 0.830 0.907 0.278
In39 0.170 0.077 0.948
In40 0.222 0.670 0.093
In41 0.907 0.077 0.628
In42 0.552 0.222 0.128
In43 0.052 0.423 0.830
In44 0.093 0.923 0.372
In45 0.170 0.093 0.722
In46 0.923 0.830 0.552
In47 0.077 0.170 0.448
In48 0.423 0.052 0.330
Se1 0.625 0.375 0.750
Se2 0.625 0.250 0.375
Se3 0.125 0.875 0.750
Se4 0.250 0.625 0.875
Se5 0.875 0.125 0.250
Se6 0.875 0.750 0.125
Se7 0.250 0.125 0.375
Se8 0.375 0.625 0.250
Se9 0.125 0.250 0.875
Se10 0.375 0.750 0.625
Se11 0.750 0.875 0.625
Se12 0.750 0.375 0.125
Ga1 0.375 0.125 0.750
Ga2 0.000 0.000 0.500
Ga3 0.750 0.625 0.375
Ga4 0.500 0.500 0.000
Ga5 0.875 0.250 0.625
Ga6 0.500 0.500 0.500
Ga7 0.125 0.375 0.250
Ga8 0.000 0.000 0.000
Ga9 0.250 0.875 0.125
Ga10 0.875 0.625 0.750
Ga11 0.625 0.750 0.875
Ga12 0.000 0.500 0.000
Ga13 0.125 0.750 0.375
Ga14 0.500 0.000 0.000
Ga15 0.500 0.000 0.500
Ga16 0.750 0.125 0.875
Ga17 0.250 0.375 0.625
Ga18 0.375 0.250 0.125
Ga19 0.625 0.875 0.250
Ga20 0.000 0.500 0.500
```

=====

## LiSiP (PBE-GGA)

Data for a relaxed structure of LiSiP.

Calculated values
The space-group type is P-62m. The uncorrected formation energy is -0.04 eV/atom. The value obtained for the polymorph energy (0 for the lowest one) is 240 meV/atom. For the spin magnetization, the calculation gives 0.00 μB/f.u.

Cell and atoms, written as CIF:
```
data_LiSiP
_chemical_formula_sum 'Li3 Si3 P3'
_cell_length_a 6.367
_cell_length_b 6.367
_cell_length_c 3.779
_cell_angle_alpha 90.00
_cell_angle_beta 90.00
_cell_angle_gamma 120.00
_symmetry_space_group_name_H-M 'P 1'
_symmetry_Int_Tables_number 1
_symmetry_space_group_name_Hall 'P 1'
loop_
_atom_site_label
_atom_site_fract_x
_atom_site_fract_y
_atom_site_fract_z
Si1 0.000 0.585 0.000
Si2 0.415 0.415 0.000
Si3 0.585 0.000 0.000
P1 0.333 0.667 0.500
P2 0.667 0.333 0.500
P3 0.000 0.000 0.000
Li1 0.752 0.752 0.500
Li2 0.248 0.000 0.500
Li3 0.000 0.248 0.500
```

=====

## Ta2Ti2Al7 (PBE-GGA)

Data for a relaxed structure of Ta2Ti2Al7.

Calculated values
The space-group type is C2/m. The value obtained for the formation energy from the elements is -4 kJ per mole of atoms. For the spin magnetization, the calculation gives 0.00 μB/f.u.

Cell and atoms, written as CIF:
```
data_Ta2Ti2Al7
_chemical_formula_sum 'Ta2 Ti2 Al7'
_cell_length_a 7.094
_cell_length_b 4.714
_cell_length_c 7.094
_cell_angle_alpha 62.83
_cell_angle_beta 102.43
_cell_angle_gamma 117.17
_symmetry_space_group_name_H-M 'P 1'
_symmetry_Int_Tables_number 1
_symmetry_space_group_name_Hall 'P 1'
loop_
_atom_site_label
_atom_site_fract_x
_atom_site_fract_y
_atom_site_fract_z
Al1 0.440 0.654 0.560
Al2 0.404 0.212 0.992
Al3 0.596 0.788 0.008
Al4 0.560 0.346 0.440
Al5 0.000 0.000 0.000
Al6 0.992 0.788 0.404
Al7 0.008 0.212 0.596
Ta1 0.801 0.500 0.801
Ta2 0.199 0.500 0.199
Ti1 0.243 0.812 0.757
Ti2 0.757 0.188 0.243
```

=====

## TbNdEr5Th2 (PBE-GGA)

Data for a relaxed structure of TbNdEr5Th2.

Calculated values
The space-group type is I4/mcm. The value obtained for the formation energy from the elements is 32 kJ per mole of atoms. For the spin magnetization, the calculation gives 0.00 μB/f.u.

Cell and atoms, written as CIF:
```
data_TbNdEr5Th2
_chemical_formula_sum 'Tb2 Nd2 Er10 Th4'
_cell_length_a 8.756
_cell_length_b 8.756
_cell_length_c 9.861
_cell_angle_alpha 116.36
_cell_angle_beta 116.36
_cell_angle_gamma 90.00
_symmetry_space_group_name_H-M 'P 1'
_symmetry_Int_Tables_number 1
_symmetry_space_group_name_Hall 'P 1'
loop_
_atom_site_label
_atom_site_fract_x
_atom_site_fract_y
_atom_site_fract_z
Er1 0.569 0.653 0.722
Er2 0.847 0.931 0.278
Er3 0.000 0.000 0.000
Er4 0.931 0.431 0.278
Er5 0.069 0.569 0.722
Er6 0.153 0.069 0.722
Er7 0.500 0.500 0.000
Er8 0.653 0.153 0.722
Er9 0.431 0.347 0.278
Er10 0.347 0.847 0.278
Th1 0.119 0.381 0.000
Th2 0.619 0.119 0.000
Th3 0.881 0.619 0.000
Th4 0.381 0.881 0.000
Nd1 0.750 0.250 0.500
Nd2 0.250 0.750 0.500
Tb1 0.750 0.750 0.500
Tb2 0.250 0.250 0.500
```